No. 1
An optimized crystal structure of Rb2InCu2, computed with PBE. Values from VASP.

Properties
**Energy relative to the elements**: 0.3022 eV/atom
**Space-group type**: P4/mbm
**Magnetization**: 0.00 μB per formula unit

```
&SYSTEM
  ibrav = 0, nat = 10, ntyp = 3
/
ATOMIC_SPECIES
Cu 63.55 Cu.upf
Rb 85.47 Rb.upf
In 114.82 In.upf
CELL_PARAMETERS angstrom
-4.1991 0.5923 5.8937
-3.3586 -6.1889 -1.7709
3.8390 -2.9509 3.0318
ATOMIC_POSITIONS crystal
Cu 0.3783 0.8783 0.0000
Cu 0.8783 0.6217 0.0000
Cu 0.6217 0.1217 0.0000
Cu 0.1217 0.3783 0.0000
Rb 0.1798 0.6798 0.5000
Rb 0.6798 0.8202 0.5000
Rb 0.8202 0.3202 0.5000
Rb 0.3202 0.1798 0.5000
In 0.0000 0.0000 0.0000
In 0.5000 0.5000 0.0000
```

=====

No. 2
An optimized crystal structure of Rb2In2Cu, computed with PBE. Values from VASP.

Properties
**Distance to the lowest polymorph of the same formula**: 0.467 eV/atom
**Energy relative to the elements**: 0.6197 eV/atom
**Space-group type**: I4/mmm
**Magnetization**: 0.00 μB per formula unit

```
&SYSTEM
  ibrav = 0, nat = 5, ntyp = 3
/
ATOMIC_SPECIES
Cu 63.55 Cu.upf
Rb 85.47 Rb.upf
In 114.82 In.upf
CELL_PARAMETERS angstrom
-1.0032 1.3152 -4.8946
3.7023 -3.2173 -1.6234
-4.0790 -6.9465 -3.7574
ATOMIC_POSITIONS crystal
Cu 0.0000 0.0000 0.0000
Rb 0.7500 0.2500 0.5000
Rb 0.2500 0.7500 0.5000
In 0.4151 0.4151 0.1698
In 0.5849 0.5849 0.8302
```

=====

No. 3
An optimized crystal structure of Rb2InCu, computed with PBE. Values from VASP.

Properties
**Energy relative to the elements**: 0.1722 eV/atom
**Space-group type**: I-42d
**Magnetization**: 0.00 μB per formula unit

```
&SYSTEM
  ibrav = 0, nat = 8, ntyp = 3
/
ATOMIC_SPECIES
Cu 63.55 Cu.upf
Rb 85.47 Rb.upf
In 114.82 In.upf
CELL_PARAMETERS angstrom
13.0105 0.0000 0.0000
0.0000 13.0105 0.0000
6.5053 6.5053 2.5198
ATOMIC_POSITIONS crystal
Cu 0.5000 0.5000 0.0000
Cu 0.2500 0.7500 0.5000
Rb 0.4486 0.1250 0.2500
Rb 0.3014 0.6250 0.2500
Rb 0.3750 0.5514 0.7500
Rb 0.8750 0.6986 0.7500
In 0.0000 0.0000 0.0000
In 0.7500 0.2500 0.5000
```

=====

No. 4
An optimized crystal structure of RbIn6Cu, computed with PBE. Values from VASP.

Properties
**Energy relative to the elements**: -0.0459 eV/atom
**Space-group type**: P4/mmm
**Magnetization**: 0.00 μB per formula unit

```
&SYSTEM
  ibrav = 0, nat = 8, ntyp = 3
/
ATOMIC_SPECIES
Rb 85.47 Rb.upf
In 114.82 In.upf
Cu 63.55 Cu.upf
CELL_PARAMETERS angstrom
-2.8011 -0.9771 3.9579
3.4923 -3.0526 1.7180
3.9518 7.0784 4.5444
ATOMIC_POSITIONS crystal
Rb 0.0000 0.0000 0.0000
In 0.5000 0.0000 0.6602
In 0.0000 0.5000 0.6602
In 0.5000 0.5000 0.1575
In 0.5000 0.5000 0.8425
In 0.0000 0.5000 0.3398
In 0.5000 0.0000 0.3398
Cu 0.0000 0.0000 0.5000
```

=====

No. 5
An optimized crystal structure of Rb3InCu, computed with PBE. Values from VASP.

Properties
**Distance to the lowest polymorph of the same formula**: 0.000 eV/atom
**Energy relative to the elements**: 0.3508 eV/atom
**Space-group type**: Pm-3m
**Magnetization**: 0.00 μB per formula unit

```
&SYSTEM
  ibrav = 0, nat = 5, ntyp = 3
/
ATOMIC_SPECIES
Cu 63.55 Cu.upf
Rb 85.47 Rb.upf
In 114.82 In.upf
CELL_PARAMETERS angstrom
-4.3271 2.1106 4.4109
-4.4834 -4.0635 -2.4538
1.9519 -4.6548 4.1421
ATOMIC_POSITIONS crystal
Cu 0.0000 0.0000 0.0000
Rb 0.0000 0.5000 0.0000
Rb 0.0000 0.0000 0.5000
Rb 0.5000 0.0000 0.0000
In 0.5000 0.5000 0.5000
```

=====

No. 6
An optimized crystal structure of RbIn2Cu2, computed with PBE. Values from VASP.

Properties
**Distance to the lowest polymorph of the same formula**: 0.084 eV/atom
**Energy relative to the elements**: 0.1888 eV/atom
**Space-group type**: P4/mbm
**Magnetization**: 0.00 μB per formula unit

```
&SYSTEM
  ibrav = 0, nat = 10, ntyp = 3
/
ATOMIC_SPECIES
Cu 63.55 Cu.upf
Rb 85.47 Rb.upf
In 114.82 In.upf
CELL_PARAMETERS angstrom
-3.0885 -2.1944 7.8794
3.1291 -8.0987 -1.0290
2.5454 0.8274 1.2282
ATOMIC_POSITIONS crystal
Cu 0.3510 0.8510 0.0000
Cu 0.8510 0.6490 0.0000
Cu 0.6490 0.1490 0.0000
Cu 0.1490 0.3510 0.0000
Rb 0.0000 0.0000 0.0000
Rb 0.5000 0.5000 0.0000
In 0.1354 0.6354 0.5000
In 0.6354 0.8646 0.5000
In 0.8646 0.3646 0.5000
In 0.3646 0.1354 0.5000
```

=====

No. 7
An optimized crystal structure of Rb2In2Cu, computed with PBE. Values from VASP.

Properties
**Distance to the lowest polymorph of the same formula**: 0.000 eV/atom
**Energy relative to the elements**: 0.1528 eV/atom
**Space-group type**: P4/mbm
**Magnetization**: 0.00 μB per formula unit

```
&SYSTEM
  ibrav = 0, nat = 10, ntyp = 3
/
ATOMIC_SPECIES
Cu 63.55 Cu.upf
Rb 85.47 Rb.upf
In 114.82 In.upf
CELL_PARAMETERS angstrom
7.2995 0.0000 0.0000
0.0000 7.2995 0.0000
0.0000 0.0000 6.4138
ATOMIC_POSITIONS crystal
Cu 0.0000 0.0000 0.0000
Cu 0.5000 0.5000 0.0000
Rb 0.1824 0.6824 0.5000
Rb 0.6824 0.8176 0.5000
Rb 0.8176 0.3176 0.5000
Rb 0.3176 0.1824 0.5000
In 0.3528 0.8528 0.0000
In 0.8528 0.6472 0.0000
In 0.6472 0.1472 0.0000
In 0.1472 0.3528 0.0000
```

=====

No. 8
An optimized crystal structure of RbIn2Cu, computed with PBE. Values from VASP.

Properties
**Energy relative to the elements**: 0.1705 eV/atom
**Space-group type**: I4_1/amd
**Magnetization**: 0.00 μB per formula unit

```
&SYSTEM
  ibrav = 0, nat = 8, ntyp = 3
/
ATOMIC_SPECIES
Cu 63.55 Cu.upf
Rb 85.47 Rb.upf
In 114.82 In.upf
CELL_PARAMETERS angstrom
6.1579 0.0000 0.0000
0.0000 6.1579 0.0000
3.0789 3.0789 8.1974
ATOMIC_POSITIONS crystal
Cu 0.5000 0.5000 0.0000
Cu 0.2500 0.7500 0.5000
Rb 0.0000 0.0000 0.0000
Rb 0.7500 0.2500 0.5000
In 0.3750 0.1250 0.2500
In 0.3750 0.6250 0.2500
In 0.3750 0.6250 0.7500
In 0.8750 0.6250 0.7500
```

=====

No. 9
An optimized crystal structure of RbIn2Cu2, computed with PBE. Values from VASP.

Properties
**Distance to the lowest polymorph of the same formula**: 0.043 eV/atom
**Energy relative to the elements**: 0.1486 eV/atom
**Space-group type**: I4/mmm
**Magnetization**: 0.00 μB per formula unit

```
&SYSTEM
  ibrav = 0, nat = 5, ntyp = 3
/
ATOMIC_SPECIES
Cu 63.55 Cu.upf
Rb 85.47 Rb.upf
In 114.82 In.upf
CELL_PARAMETERS angstrom
-1.0663 -4.4875 -1.0496
4.6037 -1.0870 -0.0297
1.5160 -4.0069 4.9317
ATOMIC_POSITIONS crystal
Cu 0.3849 0.3849 0.2303
Cu 0.6151 0.6151 0.7697
Rb 0.0000 0.0000 0.0000
In 0.7500 0.2500 0.5000
In 0.2500 0.7500 0.5000
```

=====

No. 10
An optimized crystal structure of RbIn2Cu2, computed with PBE. Values from VASP.

Properties
**Distance to the lowest polymorph of the same formula**: 0.000 eV/atom
**Energy relative to the elements**: 0.1053 eV/atom
**Space-group type**: I4/mmm
**Magnetization**: 0.00 μB per formula unit

```
&SYSTEM
  ibrav = 0, nat = 5, ntyp = 3
/
ATOMIC_SPECIES
Cu 63.55 Cu.upf
Rb 85.47 Rb.upf
In 114.82 In.upf
CELL_PARAMETERS angstrom
4.9086 0.0000 0.0000
0.0000 4.9086 0.0000
2.4543 2.4543 5.4550
ATOMIC_POSITIONS crystal
Cu 0.7500 0.2500 0.5000
Cu 0.2500 0.7500 0.5000
Rb 0.0000 0.0000 0.0000
In 0.3482 0.3482 0.3036
In 0.6518 0.6518 0.6964
```

=====

No. 11
An optimized crystal structure of RbInCu2Se, computed with PBE. Values from VASP.

Properties
**ΔE_f (raw)**: 0.299 eV per atom
**Space-group type**: P4/mmm
**Magnetization**: 0.00 μB per formula unit

```
&SYSTEM
  ibrav = 0, nat = 5, ntyp = 4
/
ATOMIC_SPECIES
Cu 63.55 Cu.upf
Se 78.96 Se.upf
Rb 85.47 Rb.upf
In 114.82 In.upf
CELL_PARAMETERS angstrom
4.8384 0.0000 0.0000
0.0000 6.3200 0.0000
0.0000 0.0000 4.8384
ATOMIC_POSITIONS crystal
Cu 0.0000 0.0000 0.5000
Cu 0.5000 0.0000 0.0000
Se 0.0000 0.0000 0.0000
Rb 0.0000 0.5000 0.0000
In 0.5000 0.5000 0.5000
```

=====

No. 12
An optimized crystal structure of RbIn2CuTe4, computed with PBE. Values from VASP.

Properties
**ΔE_f (raw)**: -0.310 eV per atom
**Space-group type**: I-42m
**Magnetization**: 0.00 μB per formula unit

```
&SYSTEM
  ibrav = 0, nat = 8, ntyp = 4
/
ATOMIC_SPECIES
Rb 85.47 Rb.upf
In 114.82 In.upf
Cu 63.55 Cu.upf
Te 127.60 Te.upf
CELL_PARAMETERS angstrom
-7.0900 2.8132 0.8975
-5.5067 -4.1254 2.2894
-2.6882 1.6230 6.5363
ATOMIC_POSITIONS crystal
Rb 0.0000 0.0000 0.0000
In 0.2500 0.2500 0.2500
In 0.7500 0.7500 0.7500
Cu 0.5000 0.4999 0.5001
Te 0.4280 0.1671 0.5720
Te 0.1671 0.8329 0.4280
Te 0.8329 0.5720 0.1671
Te 0.5720 0.4280 0.8329
```

=====

Fermi-level density of states, respectively: 2.946 3.422 3.592 3.588 3.697 1.631 2.622 2.517 2.343 1.667 1.723 3.289 states/eV/f.u..